A relaxed CsZrB crystal. Source: Alexandria via LeMat-Bulk, functional GGA-PBE.

Calculated values
**Crystal system**: orthorhombic
**Electronic total energy**: -56.0 eV/cell
**Total magnetic moment**: 0.00 μB per cell
**Distance to the lowest polymorph of the same formula**: 0.354 eV/atom
**ΔH_f (0 K)**: 695 meV per atom

a = 8.7095 Å, b = 3.9535 Å, c = 12.1210 Å
α = 90.00°, β = 90.00°, γ = 90.00°
Atoms (fractional coordinates):
Cs: 0.9671 0.2500 0.8077
Cs: 0.5329 0.7500 0.3077
Cs: 0.0329 0.7500 0.1923
Cs: 0.4671 0.2500 0.6923
B: 0.8892 0.2500 0.4178
B: 0.6108 0.7500 0.9178
B: 0.1108 0.7500 0.5822
B: 0.3892 0.2500 0.0822
Zr: 0.1330 0.2500 0.4832
Zr: 0.3670 0.7500 0.9832
Zr: 0.8670 0.7500 0.5168
Zr: 0.6330 0.2500 0.0168